(1)
VASP calculation (SCAN) on HfInNiN2 at its PBEsol-relaxed geometry.

Cell lengths 3.8868, 3.8868, 4.6148 Å; angles 90.00, 90.00, 90.00 degrees
Space group P4/mmm (No. 123)
Inequivalent atoms, fractional coordinates:
Hf 0.0000 0.0000 0.0000 [1 per cell]
In 0.5000 0.5000 0.0000 [1 per cell]
Ni 0.5000 0.5000 0.5000 [1 per cell]
N 0.0000 0.5000 0.5000 [2 per cell]

The value obtained for the calculated volume is 13.94 Å³ per atom. Its crystal system is tetragonal. Its total energy is -125.0 eV/cell. For the density of states at the Fermi level, the calculation gives 3.26 states/eV/f.u.

(2)
VASP calculation (SCAN) on Ba6Hf5S16 at its PBEsol-relaxed geometry.

Cell lengths 4.9385, 4.9385, 54.9941 Å; angles 90.00, 90.00, 90.00 degrees
Space group I4/mmm (No. 139)
Inequivalent atoms, fractional coordinates:
Ba 0.0000 0.0000 0.0444 [4 per cell]
Ba 0.0000 0.0000 0.1324 [4 per cell]
Ba 0.0000 0.0000 0.2177 [4 per cell]
Hf 0.0000 0.0000 0.3186 [4 per cell]
Hf 0.0000 0.0000 0.4096 [4 per cell]
Hf 0.0000 0.0000 0.5000 [2 per cell]
S 0.0000 0.0000 0.2739 [4 per cell]
S 0.0000 0.0000 0.3650 [4 per cell]
S 0.0000 0.0000 0.4550 [4 per cell]
S 0.0000 0.5000 0.0000 [4 per cell]
S 0.0000 0.5000 0.0896 [8 per cell]
S 0.0000 0.5000 0.1787 [8 per cell]

The value obtained for the calculated volume is 24.84 Å³ per atom. Its crystal system is tetragonal. Its total energy is -1523.5 eV/cell.

(3)
VASP calculation (SCAN) on In2WBr at its PBEsol-relaxed geometry.

Cell lengths 2.9899, 4.8653, 12.7514 Å; angles 90.00, 90.00, 90.00 degrees
Space group Imm2 (No. 44)
Inequivalent atoms, fractional coordinates:
In 0.0000 0.0000 0.0000 [2 per cell]
In 0.0000 0.5000 0.1758 [2 per cell]
W 0.0000 0.5000 0.6953 [2 per cell]
Br 0.0000 0.0000 0.3590 [2 per cell]

The value obtained for the calculated volume is 23.19 Å³ per atom. The polymorph energy (0 for the lowest one) comes out at 0.000 eV/atom. Its crystal system is orthorhombic. Its total energy is -308.0 eV/cell. For the density of states at the Fermi level, the calculation gives 2.92 states/eV/f.u.